(1)
Compound: La6AlCu2
Source: the Alexandria database
Functional: PBE
Structure: optimized geometry

SG	Immm (71)
ΔE_f	-136.5	meV per atom

Cell: 8.867 8.867 8.867 Å, 107.19 108.29 113.00°
Fractional coordinates of all 18 atoms:
Al: 0.000 0.000 0.000
La: 0.806 0.759 0.564
La: 0.707 0.030 0.323
La: 0.542 0.725 0.817
Cu: 0.500 0.382 0.882
La: 0.293 0.617 0.323
Al: 0.000 0.500 0.500
Cu: 0.642 0.000 0.642
Cu: 0.500 0.618 0.118
Cu: 0.358 0.000 0.358
La: 0.194 0.759 0.953
La: 0.707 0.383 0.677
La: 0.092 0.275 0.817
La: 0.293 0.970 0.677
La: 0.806 0.241 0.047
La: 0.458 0.275 0.183
La: 0.194 0.241 0.436
La: 0.908 0.725 0.183

(2)
Compound: TlCoCl
Source: the Alexandria database
Functional: PBE
Structure: optimized geometry

SG	P-6m2 (187)
relative energy among the computed polymorphs	101	meV/atom
formation energy (no corrections)	176	meV per atom

Cell: 3.804 3.804 5.269 Å, 90.00 90.00 120.00°
Last column: magnetic moment on the atom in μB.
Fractional coordinates of all 3 atoms:
Tl: 0.333 0.667 0.667  -0.06
Cl: 0.000 0.000 0.167  0.05
Co: 0.667 0.333 0.167  1.25

Results for calculated density: 6.1, 7.5 (in g/cm³, following the order of the records).